Entry P
An optimized crystal structure of NaMoN2F. Source: Alexandria, functional PBE with a Hubbard U.

Lattice parameters (Å, degrees): 3.939 3.939 4.244 90.00 90.00 90.00
Element x y z (fractional)
1 Mo 0.000 0.000 0.000
2 N 0.000 0.500 0.000
3 N 0.500 0.000 0.000
4 Na 0.500 0.500 0.500
5 F 0.000 0.000 0.500

Values from the calculation:
* total moment: 0.0 μB per cell
* space-group type: P4/mmm

=====

Entry Q
An optimized crystal structure of NaMoN2F. Source: Alexandria, functional PBE with a Hubbard U.

Lattice parameters (Å, degrees): 4.130 4.130 3.787 90.00 90.00 90.00
Element x y z (fractional)
1 N 0.500 0.000 0.000
2 N 0.000 0.500 0.000
3 Na 0.000 0.000 0.000
4 F 0.000 0.000 0.500
5 Mo 0.500 0.500 0.500

Values from the calculation:
* total moment: 4.2 μB per cell
* space-group type: P4/mmm

=====

Most stable: entry P. Least stable: entry Q.

=====

Entry P
An optimized crystal structure of MoOsNF2. Source: Alexandria, functional PBE with a Hubbard U.

Lattice parameters (Å, degrees): 4.157 4.157 4.215 90.00 90.00 90.00
Element x y z (fractional)
1 Os 0.500 0.500 0.500
2 F 0.500 0.000 0.000
3 F 0.000 0.500 0.000
4 Mo 0.000 0.000 0.000
5 N 0.000 0.000 0.500

Values from the calculation:
* total moment: 6.0 μB per cell
* space-group type: P4/mmm

=====

Entry Q
An optimized crystal structure of MoOsNF2. Source: Alexandria, functional PBE with a Hubbard U.

Lattice parameters (Å, degrees): 4.354 4.354 3.778 90.00 90.00 90.00
Element x y z (fractional)
1 Mo 0.500 0.500 0.500
2 F 0.000 0.500 0.000
3 F 0.500 0.000 0.000
4 Os 0.000 0.000 0.000
5 N 0.000 0.000 0.500

Values from the calculation:
* total moment: 4.3 μB per cell
* space-group type: P4/mmm

=====

Most stable: entry Q. Least stable: entry P.

=====

Entry P
An optimized crystal structure of MoPN2F. Source: Alexandria, functional PBE with a Hubbard U.

Lattice parameters (Å, degrees): 3.993 3.993 4.040 90.00 90.00 90.00
Element x y z (fractional)
1 F 0.000 0.000 0.500
2 N 0.500 0.000 0.000
3 N 0.000 0.500 0.000
4 P 0.500 0.500 0.500
5 Mo 0.000 0.000 0.000

Values from the calculation:
* total moment: 0.0 μB per cell
* space-group type: P4/mmm

=====

Entry Q
An optimized crystal structure of MoPN2F. Source: Alexandria, functional PBE with a Hubbard U.

Lattice parameters (Å, degrees): 3.695 3.695 3.799 90.00 90.00 90.00
Element x y z (fractional)
1 Mo 0.500 0.500 0.500
2 P 0.000 0.000 0.000
3 N 0.000 0.500 0.000
4 N 0.500 0.000 0.000
5 F 0.000 0.000 0.500

Values from the calculation:
* total moment: 3.5 μB per cell
* space-group type: P4/mmm

=====

Most stable: entry Q. Least stable: entry P.

=====

Entry P
An optimized crystal structure of MoPdNF2. Source: Alexandria, functional PBE with a Hubbard U.

Lattice parameters (Å, degrees): 4.374 4.374 3.836 90.00 90.00 90.00
Element x y z (fractional)
1 Pd 0.000 0.000 0.000
2 N 0.000 0.000 0.500
3 F 0.500 0.000 0.000
4 F 0.000 0.500 0.000
5 Mo 0.500 0.500 0.500

Values from the calculation:
* total moment: 4.1 μB per cell
* space-group type: P4/mmm

=====

Entry Q
An optimized crystal structure of MoPdNF2. Source: Alexandria, functional PBE with a Hubbard U.

Lattice parameters (Å, degrees): 4.188 4.188 4.013 90.00 90.00 90.00
Element x y z (fractional)
1 Mo 0.000 0.000 0.000
2 N 0.000 0.000 0.500
3 F 0.500 0.000 0.000
4 F 0.000 0.500 0.000
5 Pd 0.500 0.500 0.500

Values from the calculation:
* total moment: 1.4 μB per cell
* space-group type: P4/mmm

=====

Most stable: entry Q. Least stable: entry P.

=====

Entry P
An optimized crystal structure of RbMoNF2. Source: Alexandria, functional PBE with a Hubbard U.

Lattice parameters (Å, degrees): 4.802 4.802 4.564 90.00 90.00 90.00
Element x y z (fractional)
1 Mo 0.500 0.500 0.500
2 N 0.000 0.000 0.500
3 F 0.500 0.000 0.000
4 F 0.000 0.500 0.000
5 Rb 0.000 0.000 0.000

Values from the calculation:
* total moment: 5.0 μB per cell
* space-group type: P4/mmm

=====

Entry Q
An optimized crystal structure of RbMoNF2. Source: Alexandria, functional PBE with a Hubbard U.

Lattice parameters (Å, degrees): 4.429 4.429 4.003 90.00 90.00 90.00
Element x y z (fractional)
1 F 0.500 0.000 0.000
2 F 0.000 0.500 0.000
3 Mo 0.000 0.000 0.000
4 N 0.000 0.000 0.500
5 Rb 0.500 0.500 0.500

Values from the calculation:
* total moment: 2.0 μB per cell
* space-group type: P4/mmm

=====

Most stable: entry Q. Least stable: entry P.

=====

Entry P
An optimized crystal structure of MoRhN2F. Source: Alexandria, functional PBE with a Hubbard U.

Lattice parameters (Å, degrees): 3.983 3.983 4.000 90.00 90.00 90.00
Element x y z (fractional)
1 Mo 0.000 0.000 0.000
2 N 0.000 0.500 0.000
3 N 0.500 0.000 0.000
4 Rh 0.500 0.500 0.500
5 F 0.000 0.000 0.500

Values from the calculation:
* total moment: 1.5 μB per cell
* space-group type: P4/mmm

=====

Entry Q
An optimized crystal structure of MoRhN2F. Source: Alexandria, functional PBE with a Hubbard U.

Lattice parameters (Å, degrees): 3.949 3.949 4.083 90.00 90.00 90.00
Element x y z (fractional)
1 F 0.000 0.000 0.500
2 N 0.000 0.500 0.000
3 N 0.500 0.000 0.000
4 Mo 0.500 0.500 0.500
5 Rh 0.000 0.000 0.000

Values from the calculation:
* total moment: 2.6 μB per cell
* space-group type: P4/mmm

=====

Most stable: entry P. Least stable: entry Q.

=====

Entry P
An optimized crystal structure of MoRhNF2. Source: Alexandria, functional PBE with a Hubbard U.

Lattice parameters (Å, degrees): 4.180 4.180 4.065 90.00 90.00 90.00
Element x y z (fractional)
1 F 0.500 0.000 0.000
2 F 0.000 0.500 0.000
3 Mo 0.000 0.000 0.000
4 Rh 0.500 0.500 0.500
5 N 0.000 0.000 0.500

Values from the calculation:
* total moment: 3.6 μB per cell
* space-group type: P4/mmm

=====

Entry Q
An optimized crystal structure of MoRhNF2. Source: Alexandria, functional PBE with a Hubbard U.

Lattice parameters (Å, degrees): 4.450 4.450 3.694 90.00 90.00 90.00
Element x y z (fractional)
1 Mo 0.500 0.500 0.500
2 F 0.000 0.500 0.000
3 F 0.500 0.000 0.000
4 Rh 0.000 0.000 0.000
5 N 0.000 0.000 0.500

Values from the calculation:
* total moment: 4.6 μB per cell
* space-group type: P4/mmm

=====

Most stable: entry P. Least stable: entry Q.

=====

Entry P
An optimized crystal structure of ScMoNF2. Source: Alexandria, functional PBE with a Hubbard U.

Lattice parameters (Å, degrees): 3.960 3.960 4.491 90.00 90.00 90.00
Element x y z (fractional)
1 Mo 0.500 0.500 0.500
2 F 0.500 0.000 0.000
3 F 0.000 0.500 0.000
4 N 0.000 0.000 0.500
5 Sc 0.000 0.000 0.000

Values from the calculation:
* total moment: 4.0 μB per cell
* space-group type: P4/mmm

=====

Entry Q
An optimized crystal structure of ScMoNF2. Source: Alexandria, functional PBE with a Hubbard U.

Lattice parameters (Å, degrees): 4.130 4.130 4.328 90.00 90.00 90.00
Element x y z (fractional)
1 F 0.000 0.500 0.000
2 F 0.500 0.000 0.000
3 Mo 0.000 0.000 0.000
4 Sc 0.500 0.500 0.500
5 N 0.000 0.000 0.500

Values from the calculation:
* total moment: 3.9 μB per cell
* space-group type: P4/mmm

=====

Most stable: entry P. Least stable: entry Q.

=====

Entry P
An optimized crystal structure of ScMoN2F. Source: Alexandria, functional PBE with a Hubbard U.

Lattice parameters (Å, degrees): 4.061 4.061 3.981 90.00 90.00 90.00
Element x y z (fractional)
1 N 0.000 0.500 0.000
2 N 0.500 0.000 0.000
3 F 0.000 0.000 0.500
4 Sc 0.500 0.500 0.500
5 Mo 0.000 0.000 0.000

Values from the calculation:
* total moment: 1.9 μB per cell
* space-group type: P4/mmm

=====

Entry Q
An optimized crystal structure of ScMoN2F. Source: Alexandria, functional PBE with a Hubbard U.

Lattice parameters (Å, degrees): 4.194 4.194 3.883 90.00 90.00 90.00
Element x y z (fractional)
1 N 0.500 0.000 0.000
2 N 0.000 0.500 0.000
3 Mo 0.500 0.500 0.500
4 Sc 0.000 0.000 0.000
5 F 0.000 0.000 0.500

Values from the calculation:
* total moment: 2.1 μB per cell
* space-group type: P4/mmm

=====

Most stable: entry P. Least stable: entry Q.

=====

Entry P
An optimized crystal structure of SnMoNF2. Source: Alexandria, functional PBE with a Hubbard U.

Lattice parameters (Å, degrees): 4.365 4.365 4.120 90.00 90.00 90.00
Element x y z (fractional)
1 F 0.000 0.500 0.000
2 F 0.500 0.000 0.000
3 N 0.000 0.000 0.500
4 Mo 0.500 0.500 0.500
5 Sn 0.000 0.000 0.000

Values from the calculation:
* total moment: 4.6 μB per cell
* space-group type: P4/mmm

=====

Entry Q
An optimized crystal structure of SnMoNF2. Source: Alexandria, functional PBE with a Hubbard U.

Lattice parameters (Å, degrees): 4.269 4.269 4.211 90.00 90.00 90.00
Element x y z (fractional)
1 F 0.000 0.500 0.000
2 F 0.500 0.000 0.000
3 Mo 0.000 0.000 0.000
4 Sn 0.500 0.500 0.500
5 N 0.000 0.000 0.500

Values from the calculation:
* total moment: 2.7 μB per cell
* space-group type: P4/mmm

=====

Most stable: entry Q. Least stable: entry P.

=====

Entry P
An optimized crystal structure of SnMoN2F. Source: Alexandria, functional PBE with a Hubbard U.

Lattice parameters (Å, degrees): 4.166 4.166 4.071 90.00 90.00 90.00
Element x y z (fractional)
1 N 0.000 0.500 0.000
2 N 0.500 0.000 0.000
3 Sn 0.000 0.000 0.000
4 F 0.000 0.000 0.500
5 Mo 0.500 0.500 0.500

Values from the calculation:
* total moment: 3.0 μB per cell
* space-group type: P4/mmm

=====

Entry Q
An optimized crystal structure of SnMoN2F. Source: Alexandria, functional PBE with a Hubbard U.

Lattice parameters (Å, degrees): 4.088 4.088 4.190 90.00 90.00 90.00
Element x y z (fractional)
1 Mo 0.000 0.000 0.000
2 N 0.500 0.000 0.000
3 N 0.000 0.500 0.000
4 F 0.000 0.000 0.500
5 Sn 0.500 0.500 0.500

Values from the calculation:
* total moment: 1.0 μB per cell
* space-group type: P4/mmm

=====

Most stable: entry Q. Least stable: entry P.

=====

Entry P
An optimized crystal structure of SrMoN2F. Source: Alexandria, functional PBE with a Hubbard U.

Lattice parameters (Å, degrees): 4.898 4.898 4.464 90.00 90.00 90.00
Element x y z (fractional)
1 Sr 0.000 0.000 0.000
2 N 0.000 0.500 0.000
3 N 0.500 0.000 0.000
4 F 0.000 0.000 0.500
5 Mo 0.500 0.500 0.500

Values from the calculation:
* total moment: 1.0 μB per cell
* space-group type: P4/mmm

=====

Entry Q
An optimized crystal structure of SrMoN2F. Source: Alexandria, functional PBE with a Hubbard U.

Lattice parameters (Å, degrees): 4.067 4.067 4.220 90.00 90.00 90.00
Element x y z (fractional)
1 N 0.500 0.000 0.000
2 N 0.000 0.500 0.000
3 Sr 0.500 0.500 0.500
4 Mo 0.000 0.000 0.000
5 F 0.000 0.000 0.500

Values from the calculation:
* total moment: 1.0 μB per cell
* space-group type: P4/mmm

=====

Most stable: entry Q. Least stable: entry P.